An optimized crystal structure of Dy2Ni7Sn3, computed with PBE-GGA.

Properties
- Formation energy from the elements: -0.426 eV per atom

a b c (Å): 8.6072 23.8497 7.5561
angles (deg): 90.00 90.00 90.00
Last column: nearest neighbours and their distance in Å.
Space group Cmce (No. 64)
Asymmetric unit:
Dy: 0.0000 0.1936 0.0726  9 Ni 2.93-3.12
Dy: 0.2061 0.0000 0.5000  6 Ni 2.90-3.02, 4 Sn 3.18-3.22
Ni: 0.0000 0.0456 0.1491  1 Ni 2.59, 4 Sn 2.60-2.70
Ni: 0.0000 0.1008 0.4446  6 Ni 2.40-2.64, 2 Sn 2.61
Ni: 0.0000 0.1649 0.6895  5 Ni 2.40-2.63, 3 Sn 2.55-2.58
Ni: 0.1490 0.1972 0.4206  4 Ni 2.51-2.64, 3 Sn 2.54-2.68
Ni: 0.2398 0.1163 0.9079  4 Ni 2.39-2.63, 2 Sn 2.58-2.60
Sn: 0.0000 0.0622 0.7965  6 Ni 2.58-2.81
Sn: 0.2500 0.1059 0.2500  8 Ni 2.60-2.70
Sn: 0.2500 0.2186 0.7500  8 Ni 2.54-2.72

An optimized crystal structure of Ba4HAu2, computed with PBE-GGA.

Properties
- Excess energy over the best structure of this formula in the dataset: 0.00 eV per formula unit

a b c (Å): 7.6662 8.1498 8.9844
angles (deg): 90.00 106.89 90.00
Last column: nearest neighbours and their distance in Å.
Space group P2_1/m (No. 11)
Asymmetric unit:
Ba: 0.0126 0.0089 0.2517  1 H 2.61
Ba: 0.4409 0.2500 0.6038  1 H 2.63
Ba: 0.4562 0.2500 0.1229  1 H 2.64
H: 0.2462 0.2500 0.3094  4 Ba 2.61-2.64
Au: 0.2072 0.7500 0.5475  6 Ba 3.32-3.42
Au: 0.2202 0.7500 0.0582  6 Ba 3.34-3.45

An optimized crystal structure of GaMoH2I, computed with PBE-GGA.

a b c (Å): 4.0242 4.0242 5.5163
angles (deg): 90.00 90.00 90.00
Last column: nearest neighbours and their distance in Å.
Space group P4/mmm (No. 123)
Asymmetric unit:
Ga: 0.0000 0.0000 0.0000  2 Mo 2.76, 4 I 2.85
Mo: 0.0000 0.0000 0.5000  4 H 2.01
H: 0.0000 0.5000 0.5000  2 Mo 2.01
I: 0.5000 0.5000 0.0000  4 Ga 2.85

An optimized crystal structure of Ba14Na6Pt3, computed with PBE-GGA.

Properties
- Formation energy from the elements: -0.211 eV per atom

a b c (Å): 12.8816 12.8816 8.1309
angles (deg): 90.00 90.00 120.00
Last column: nearest neighbours and their distance in Å.
Space group P3m1 (No. 156)
Asymmetric unit:
Ba: 0.0000 0.0000 0.0000  1 Pt 3.08
Ba: 0.1047 0.5524 0.6599  1 Pt 3.18
Ba: 0.2190 0.4381 0.1914  1 Pt 3.18
Ba: 0.2429 0.1215 0.4295  1 Pt 3.13
Ba: 0.4230 0.2115 0.9237  1 Pt 3.11
Ba: 0.6667 0.3333 0.4895  1 Pt 3.08
Na: 0.1322 0.2643 0.7341  1 Pt 3.09
Na: 0.5351 0.0702 0.2220  1 Pt 3.07
Pt: 0.0000 0.0000 0.6215  4 Ba 3.08-3.13, 3 Na 3.09
Pt: 0.3333 0.6667 0.4259  6 Ba 3.18
Pt: 0.6667 0.3333 0.1105  3 Na 3.07, 4 Ba 3.08-3.11

An optimized crystal structure of Pu3Pd12Pb, computed with PBE-GGA.

Properties
- Formation energy from the elements: -0.483 eV per atom

a b c (Å): 4.1465 4.1465 16.6145
angles (deg): 90.00 90.00 90.00
Last column: nearest neighbours and their distance in Å.
Space group P4/mmm (No. 123)
Asymmetric unit:
Pu: 0.0000 0.0000 0.0000  12 Pd 2.93-2.95
Pu: 0.0000 0.0000 0.2514  12 Pd 2.92-2.94
Pd: 0.0000 0.5000 0.1259  8 Pd 2.93-2.95, 4 Pu 2.94-2.95
Pd: 0.0000 0.5000 0.3753  8 Pd 2.91-2.93, 2 Pu 2.92, 2 Pb 2.93
Pd: 0.5000 0.5000 0.0000  4 Pu 2.93, 8 Pd 2.95
Pd: 0.5000 0.5000 0.2522  8 Pd 2.91-2.95, 4 Pu 2.93
Pd: 0.5000 0.5000 0.5000  8 Pd 2.93, 4 Pb 2.93
Pb: 0.0000 0.0000 0.5000  12 Pd 2.93

An optimized crystal structure of TaNbTlNi2, computed with PBE-GGA.

Properties
- Formation energy from the elements: 1.301 eV per atom

a b c (Å): 4.6372 4.6372 4.9067
angles (deg): 90.00 90.00 90.00
Last column: nearest neighbours and their distance in Å.
Space group P4/mmm (No. 123)
Asymmetric unit:
Ta: 0.0000 0.0000 0.0000  2 Nb 2.45
Nb: 0.0000 0.0000 0.5000  4 Ni 2.32, 2 Ta 2.45
Tl: 0.5000 0.5000 0.0000  4 Ta 3.28, 8 Ni 3.38
Ni: 0.0000 0.5000 0.5000  2 Nb 2.32

An optimized crystal structure of Ga2Rh2O, computed with PBE-GGA.

Properties
- E_form (uncorrected): 0.14 eV/atom
- Excess energy over the best structure of this formula in the dataset: 1.99 eV per formula unit

a b c (Å): 3.5408 3.5408 12.7121
angles (deg): 90.00 90.00 90.00
Last column: nearest neighbours and their distance in Å.
Space group I4/mmm (No. 139)
Asymmetric unit:
Ga: 0.0000 0.0000 0.0961  1 Ga 2.44, 4 Rh 2.64
Rh: 0.0000 0.5000 0.2500  4 Rh 2.50, 4 Ga 2.64
O: 0.0000 0.0000 0.5000  8 Ga 2.79

An optimized crystal structure of SrMg6Nb, computed with PBE-GGA.

Properties
- Formation energy from the elements: 0.184 eV per atom
- Excess energy over the best structure of this formula in the dataset: 0.22 eV per formula unit

a b c (Å): 6.5215 6.5215 5.1490
angles (deg): 90.00 90.00 120.00
Last column: nearest neighbours and their distance in Å.
Space group P-6m2 (No. 187)
Asymmetric unit:
Sr: 0.0000 0.0000 0.0000  12 Mg 3.24-3.26
Mg: 0.0235 0.5117 0.0000  6 Mg 3.03-3.21, 2 Nb 3.11, 2 Sr 3.26
Mg: 0.3486 0.1743 0.5000  8 Mg 3.11-3.41, 2 Sr 3.24, 2 Nb 3.26
Nb: 0.3333 0.6667 0.5000  12 Mg 3.11-3.26

An optimized crystal structure of KZn2GaAs, computed with PBE-GGA.

Properties
- Formation energy from the elements: 0.994 eV per atom

a b c (Å): 5.8577 5.8577 5.9978
angles (deg): 90.00 90.00 90.00
Last column: nearest neighbours and their distance in Å.
Space group P4/mmm (No. 123)
Asymmetric unit:
K: 0.0000 0.0000 0.0000  4 Zn 2.93, 2 As 3.00
Zn: 0.0000 0.5000 0.0000  2 K 2.93
Ga: 0.5000 0.5000 0.5000  4 As 4.14, 8 Zn 4.19
As: 0.0000 0.0000 0.5000  2 K 3.00

An optimized crystal structure of Ca2HoMg, computed with PBE-GGA.

Properties
- Formation energy from the elements: 0.081 eV per atom
- Excess energy over the best structure of this formula in the dataset: 0.00 eV per formula unit

a b c (Å): 4.1704 4.1704 7.6455
angles (deg): 90.00 90.00 90.00
Last column: nearest neighbours and their distance in Å.
Space group P4/mmm (No. 123)
Asymmetric unit:
Ca: 0.0000 0.0000 0.2379  4 Mg 3.46, 4 Ho 3.57, 1 Ca 3.64
Ho: 0.5000 0.5000 0.5000  8 Ca 3.57, 2 Mg 3.82
Mg: 0.5000 0.5000 0.0000  8 Ca 3.46, 2 Ho 3.82

An optimized crystal structure of AsP2Br, computed with PBE-GGA.

Properties
- E_form (uncorrected): 0.60 eV/atom
- Excess energy over the best structure of this formula in the dataset: 2.01 eV per formula unit

a b c (Å): 5.4628 5.4628 5.3712
angles (deg): 90.00 90.00 90.00
Last column: nearest neighbours and their distance in Å.
Space group I4/mmm (No. 139)
Asymmetric unit:
As: 0.0000 0.0000 0.0000  2 Br 2.69, 4 P 2.73
P: 0.0000 0.5000 0.0000  2 P 2.69, 2 As 2.73, 2 Br 2.73
Br: 0.0000 0.0000 0.5000  2 As 2.69, 4 P 2.73

An optimized crystal structure of CrCdCo2, computed with PBE-GGA.

Properties
- Formation energy from the elements: 0.341 eV per atom

a b c (Å): 2.6635 2.6635 7.5186
angles (deg): 90.00 90.00 90.00
Last column: nearest neighbours and their distance in Å.
Space group P4mm (No. 99)
Asymmetric unit:
Cr: 0.0000 0.0000 0.0000  4 Co 2.49, 4 Cr 2.66
Cd: 0.5000 0.5000 0.2960  4 Cd 2.66, 4 Co 2.84, 4 Cr 2.92
Co: 0.0000 0.0000 0.5781  8 Co 2.43-2.66
Co: 0.5000 0.5000 0.7829  8 Co 2.43-2.66, 4 Cr 2.49

An optimized crystal structure of Sc2CoCl, computed with PBE-GGA.

Properties
- E_form (uncorrected): -0.72 eV/atom
- Excess energy over the best structure of this formula in the dataset: 0.28 eV per formula unit

a b c (Å): 3.7198 3.7198 22.7856
angles (deg): 90.00 90.00 120.00
Last column: nearest neighbours and their distance in Å.
Space group R-3m (No. 166, hexagonal axes)
Asymmetric unit:
Sc: 0.0000 0.0000 0.1097  1 Cl 2.50, 3 Co 2.51
Co: 0.0000 0.0000 0.5000  6 Sc 2.51
Cl: 0.0000 0.0000 0.0000  2 Sc 2.50

An optimized crystal structure of La4Tb2SmY2, computed with PBE-GGA.

Properties
- Formation energy from the elements: 0.047 eV per atom

a b c (Å): 17.7236 3.6541 9.8422
angles (deg): 90.00 100.92 90.00
Last column: nearest neighbours and their distance in Å.
Space group C2/m (No. 12)
Asymmetric unit:
La: 0.0146 0.0000 0.3248  5 La 3.58-3.65, 1 Y 3.61, 2 Sm 3.65, 4 Tb 3.67-3.75
La: 0.1790 0.5000 0.2515  3 Y 3.51-3.70, 3 Tb 3.53-3.58, 4 La 3.62-3.65, 1 Sm 3.64
Tb: 0.1521 0.5000 0.5980  7 La 3.53-3.75, 2 Y 3.64, 2 Tb 3.65
Sm: 0.0000 0.5000 0.0000  6 La 3.64-3.65, 4 Y 3.65, 2 Sm 3.65
Y: 0.1646 0.0000 0.9209  4 La 3.51-3.70, 4 Y 3.63-3.65, 2 Tb 3.64, 2 Sm 3.65

An optimized crystal structure of AlAg2Os, computed with PBE-GGA.

Properties
- Formation energy from the elements: 0.319 eV per atom

a b c (Å): 6.3322 6.3322 6.3322
angles (deg): 90.00 90.00 90.00
Last column: nearest neighbours and their distance in Å.
Space group F-43m (No. 216)
Asymmetric unit:
Al: 0.0000 0.0000 0.0000  4 Os 2.74, 4 Ag 2.74
Ag: 0.0000 0.0000 0.5000  4 Os 2.74, 4 Ag 2.74
Ag: 0.2500 0.2500 0.7500  4 Al 2.74, 4 Ag 2.74
Os: 0.2500 0.2500 0.2500  4 Al 2.74, 4 Ag 2.74

An optimized crystal structure of CaReSb2, computed with PBE-GGA.

Properties
- E_form (uncorrected): 0.21 eV/atom
- Excess energy over the best structure of this formula in the dataset: 0.93 eV per formula unit

a b c (Å): 7.9415 7.9415 6.6332
angles (deg): 90.00 90.00 90.00
Last column: nearest neighbours and their distance in Å.
Space group I-42d (No. 122)
Asymmetric unit:
Ca: 0.0000 0.0000 0.0000  8 Sb 3.25-3.53, 2 Re 3.32
Re: 0.0000 0.0000 0.5000  4 Sb 2.64
Sb: 0.1930 0.2500 0.6250  2 Re 2.64

An optimized crystal structure of Sn6PtAu2, computed with PBE-GGA.

Properties
- Formation energy from the elements: -0.187 eV per atom

a b c (Å): 7.1121 7.1121 5.3055
angles (deg): 90.00 90.00 120.00
Last column: nearest neighbours and their distance in Å.
Space group P-31m (No. 162)
Asymmetric unit:
Sn: 0.0000 0.3484 0.2886  1 Pt 2.72, 2 Au 2.78
Pt: 0.0000 0.0000 0.5000  6 Sn 2.72
Au: 0.3333 0.6667 0.0000  6 Sn 2.78

An optimized crystal structure of InWBr2, computed with PBE-GGA.

Properties
- E_form (uncorrected): 0.21 eV/atom
- Excess energy over the best structure of this formula in the dataset: 0.37 eV per formula unit

a b c (Å): 10.7122 3.1953 7.5581
angles (deg): 90.00 112.56 90.00
Last column: nearest neighbours and their distance in Å.
Space group Cm (No. 8)
Asymmetric unit:
In: 0.0000 0.0000 0.0000  3 W 2.90-2.93, 2 In 3.20
W: 0.2704 0.0000 0.9998  4 Br 2.61-2.62, 1 In 2.90
Br: 0.1622 0.5000 0.7067  2 W 2.61
Br: 0.3189 0.5000 0.2926  2 W 2.62

| no. | E_tot (eV/atom) |
| --- | --- |
| 1 | -5.57 |
| 2 | -3.03 |
| 3 | -3.82 |
| 4 | -2.51 |
| 5 | -7.30 |
| 6 | -5.87 |
| 7 | -5.00 |
| 8 | -2.48 |
| 9 | -1.27 |
| 10 | -2.46 |
| 11 | -3.69 |
| 12 | -5.85 |
| 13 | -6.12 |
| 14 | -5.13 |
| 15 | -4.85 |
| 16 | -5.47 |
| 17 | -4.25 |
| 18 | -4.55 |